<A>
This record from Alexandria describes crystalline PrNd2Er9 at its relaxed geometry. The functional is PBE-GGA.

a = 3.5146 Å, b = 11.2406 Å, c = 11.2406 Å
α = 120.00°, β = 90.00°, γ = 90.00°
Closest atoms and distances in Å follow each position.
Element x y z (fractional)
Er 0.0000 0.5000 0.5000  2 Nd 3.24, 10 Er 3.51-3.61
Nd 0.0000 0.3333 0.6667  9 Er 3.24-3.53, 2 Nd 3.51
Er 0.0000 0.5000 0.0000  2 Nd 3.24, 10 Er 3.51-3.61
Er 0.5000 0.3525 0.1762  8 Er 3.43-3.61, 2 Nd 3.53
Er 0.5000 0.1762 0.3525  8 Er 3.43-3.61, 2 Nd 3.53
Nd 0.0000 0.6667 0.3333  9 Er 3.24-3.53, 2 Nd 3.51
Er 0.5000 0.1762 0.8238  8 Er 3.43-3.61, 2 Nd 3.53
Er 0.5000 0.6475 0.8238  8 Er 3.43-3.61, 2 Nd 3.53
Er 0.5000 0.8238 0.1762  8 Er 3.43-3.61, 2 Nd 3.53
Pr 0.0000 0.0000 0.0000  2 Pr 3.51, 12 Er 3.85
Er 0.0000 0.0000 0.5000  2 Nd 3.24, 10 Er 3.51-3.61
Er 0.5000 0.8238 0.6475  8 Er 3.43-3.61, 2 Nd 3.53

Summary:
Density (g/cm³): 8.35
Space group: P6/mmm, No. 191


<B>
This record from Alexandria describes crystalline PrNd2Er9 at its relaxed geometry. The functional is PBE-GGA.

a = 5.0234 Å, b = 5.0234 Å, c = 15.0688 Å
α = 90.00°, β = 90.00°, γ = 90.00°
Closest atoms and distances in Å follow each position.
Element x y z (fractional)
Er 0.0000 0.5000 0.5000  8 Er 3.55, 4 Nd 3.55
Er 0.0000 0.5000 0.1673  2 Nd 3.55, 8 Er 3.55-3.56, 2 Pr 3.56
Er 0.5000 0.0000 0.5000  8 Er 3.55, 4 Nd 3.55
Er 0.5000 0.0000 0.8327  2 Nd 3.55, 8 Er 3.55-3.56, 2 Pr 3.56
Nd 0.0000 0.0000 0.3336  12 Er 3.55
Er 0.0000 0.5000 0.8327  2 Nd 3.55, 8 Er 3.55-3.56, 2 Pr 3.56
Nd 0.0000 0.0000 0.6664  12 Er 3.55
Er 0.5000 0.5000 0.3338  8 Er 3.55, 4 Nd 3.55
Er 0.5000 0.0000 0.1673  2 Nd 3.55, 8 Er 3.55-3.56, 2 Pr 3.56
Pr 0.0000 0.0000 0.0000  12 Er 3.55-3.56
Er 0.5000 0.5000 0.0000  4 Pr 3.55, 8 Er 3.56
Er 0.5000 0.5000 0.6662  8 Er 3.55, 4 Nd 3.55

Summary:
Density (g/cm³): 8.45
Space group: P4/mmm, No. 123


It turns out <B> is the most stable, with the second structure 35 meV per atom higher.


<A>
This record from Alexandria describes crystalline TbPrNdEr at its relaxed geometry. The functional is PBE-GGA.

a = 5.7512 Å, b = 5.7512 Å, c = 5.7512 Å
α = 60.00°, β = 60.00°, γ = 60.00°
Closest atoms and distances in Å follow each position.
Element x y z (fractional)
Pr 0.7500 0.7500 0.7500  4 Tb 3.52, 4 Er 3.52
Er 0.5000 0.5000 0.5000  4 Nd 3.52, 4 Pr 3.52
Nd 0.2500 0.2500 0.2500  4 Tb 3.52, 4 Er 3.52
Tb 0.0000 0.0000 0.0000  4 Pr 3.52, 4 Nd 3.52

Summary:
Density (g/cm³): 7.55
Space group: F-43m, No. 216


<B>
This record from Alexandria describes crystalline TbPrNdEr at its relaxed geometry. The functional is PBE-GGA.

a = 5.1211 Å, b = 5.1249 Å, c = 6.2548 Å
α = 114.18°, β = 114.17°, γ = 90.00°
Closest atoms and distances in Å follow each position.
Element x y z (fractional)
Tb 0.1955 0.6955 0.3910  4 Er 3.61-3.62, 4 Nd 3.61-3.62, 4 Pr 3.62
Er 0.4456 0.4456 0.8913  4 Tb 3.61-3.62, 4 Pr 3.61-3.62, 4 Nd 3.62
Nd 0.9454 0.9454 0.8908  4 Pr 3.61-3.62, 4 Tb 3.61-3.62, 4 Er 3.62
Pr 0.6957 0.1957 0.3914  4 Nd 3.61-3.62, 4 Er 3.61-3.62, 4 Tb 3.62

Summary:
Density (g/cm³): 7.59
Space group: I-4m2, No. 119


It turns out <B> is the most stable, with the second structure 91 meV per atom higher.


<A>
This record from Alexandria describes crystalline PrNdErTl at its relaxed geometry. The functional is PBE-GGA.

a = 5.0345 Å, b = 4.9062 Å, c = 4.9178 Å
α = 90.00°, β = 90.00°, γ = 90.00°
Closest atoms and distances in Å follow each position.
Element x y z (fractional)
Nd 0.5000 0.5000 0.0000  4 Pr 3.47, 4 Tl 3.51, 4 Er 3.52
Er 0.0000 0.5000 0.5000  4 Tl 3.47, 4 Pr 3.51, 4 Nd 3.52
Tl 0.0000 0.0000 0.0000  4 Er 3.47, 4 Nd 3.51, 4 Pr 3.52
Pr 0.5000 0.0000 0.5000  4 Nd 3.47, 4 Er 3.51, 4 Tl 3.52

Summary:
Density (g/cm³): 8.98
Space group: Pmmm, No. 47


<B>
This record from Alexandria describes crystalline PrNdErTl at its relaxed geometry. The functional is PBE-GGA.

a = 5.5936 Å, b = 5.5936 Å, c = 5.5936 Å
α = 60.00°, β = 60.00°, γ = 60.00°
Closest atoms and distances in Å follow each position.
Element x y z (fractional)
Er 0.5000 0.5000 0.5000  4 Pr 3.43, 4 Nd 3.43
Tl 0.0000 0.0000 0.0000  4 Nd 3.43, 4 Pr 3.43
Pr 0.7500 0.7500 0.7500  4 Tl 3.43, 4 Er 3.43
Nd 0.2500 0.2500 0.2500  4 Tl 3.43, 4 Er 3.43

Summary:
Density (g/cm³): 8.81
Space group: F-43m, No. 216


It turns out <A> is the most stable, with the second structure 120 meV per atom higher.